# Ba3Li2VO6, optimized geometry, DFT PBE with a Hubbard U
data_Ba3Li2VO6
_chemical_formula_sum 'Ba3 Li2 V1 O6'
_cell_length_a 5.8863
_cell_length_b 5.8863
_cell_length_c 6.6115
_cell_angle_alpha 90.00
_cell_angle_beta 90.00
_cell_angle_gamma 120.00
_space_group_name_H-M_alt 'P -3 m 1'
_space_group_IT_number 164
_space_group_name_Hall '-P 3 2"'
loop_
_atom_site_label
_atom_site_type_symbol
_atom_site_fract_x
_atom_site_fract_y
_atom_site_fract_z
Ba1 Ba 0.0000 0.0000 0.0000
Ba2 Ba 0.3333 0.6667 0.6451
Li1 Li 0.3333 0.6667 0.2360
V1 V 0.0000 0.0000 0.5000
O1 O 0.1604 0.3207 0.3233
# * spin magnetization: 1.0 μB/f.u.
# * calculated total energy: -0.22451 hartree per atom